1 | Density functional theory data (PBE) for a relaxed Pu2GeF crystal.

Cell: 4.2049 4.2049 14.0803 Å, 90.00 90.00 120.00°
Space group R-3m (No. 166, hexagonal axes)
One atom of each set of equivalent atoms:
Pu 0.0000 0.0000 0.1991 [6 per cell]
Ge 0.0000 0.0000 0.0000 [3 per cell]
F 0.0000 0.0000 0.5000 [3 per cell]

* density: 13.39 g cm⁻³


2 | Density functional theory data (PBE) for a relaxed Pu2GeF crystal.

Cell: 3.212 3.212 7.710 Å, 90.00 90.00 90.00°
Space group P4/mmm (No. 123)
One atom of each set of equivalent atoms:
Pu 0.000 0.000 0.240 [2 per cell]
Ge 0.500 0.500 0.500 [1 per cell]
F 0.500 0.500 0.000 [1 per cell]

* density: 12.10 g cm⁻³


3 | Density functional theory data (PBE) for a relaxed Pu2GeF crystal.

Cell: 5.8831 5.8831 8.2114 Å, 90.00 90.00 120.00°
Space group P6_422 (No. 181)
One atom of each set of equivalent atoms:
Pu 0.2000 0.4000 0.0000 [6 per cell]
Ge 0.0000 0.5000 0.3333 [3 per cell]
F 0.0000 0.0000 0.1667 [3 per cell]

* density: 11.73 g cm⁻³


Of them, the most stable is 3 and the least stable is 1.


1 | Density functional theory data (PBE) for a relaxed RbGe3F crystal.

Cell: 6.046 6.046 6.046 Å, 90.00 90.00 90.00°
Space group Pm-3m (No. 221)
One atom of each set of equivalent atoms:
Rb 0.000 0.000 0.000 [1 per cell]
Ge 0.000 0.000 0.500 [3 per cell]
F 0.500 0.500 0.500 [1 per cell]

* density: 2.42 g cm⁻³


2 | Density functional theory data (PBE) for a relaxed RbGe3F crystal.

Cell: 4.926 4.926 4.926 Å, 90.00 90.00 90.00°
Space group Pm-3m (No. 221)
One atom of each set of equivalent atoms:
Rb 0.000 0.000 0.000 [1 per cell]
Ge 0.000 0.500 0.500 [3 per cell]
F 0.500 0.500 0.500 [1 per cell]

* density: 4.48 g cm⁻³


Of them, the most stable is 2 and the least stable is 1.


1 | Density functional theory data (PBE) for a relaxed Rb2GeF crystal.

Cell: 8.079 8.079 9.279 Å, 90.00 90.00 90.00°
Space group I-42d (No. 122)
One atom of each set of equivalent atoms:
Rb 0.151 0.250 0.125 [8 per cell]
Ge 0.000 0.000 0.500 [4 per cell]
F 0.000 0.000 0.000 [4 per cell]

* density: 2.88 g cm⁻³


2 | Density functional theory data (PBE) for a relaxed Rb2GeF crystal.

Cell: 8.209 8.209 8.209 Å, 90.00 90.00 90.00°
Space group Fm-3m (No. 225)
One atom of each set of equivalent atoms:
Rb 0.250 0.250 0.250 [8 per cell]
Ge 0.000 0.000 0.000 [4 per cell]
F 0.000 0.000 0.500 [4 per cell]

* density: 3.15 g cm⁻³


Of them, the most stable is 1 and the least stable is 2.


1 | Density functional theory data (PBE) for a relaxed Rb2GeF6 crystal.

Cell: 6.0656 6.0656 9.8834 Å, 90.00 90.00 120.00°
Space group P6_3mc (No. 186)
One atom of each set of equivalent atoms:
Rb 0.0000 0.0000 0.0000 [2 per cell]
Rb 0.3333 0.6667 0.2769 [2 per cell]
Ge 0.3333 0.6667 0.6614 [2 per cell]
F 0.0493 0.5246 0.5524 [6 per cell]
F 0.1881 0.3763 0.7649 [6 per cell]

* density: 3.77 g cm⁻³


2 | Density functional theory data (PBE) for a relaxed Rb2GeF6 crystal.

Cell: 5.9489 5.9489 4.9424 Å, 90.00 90.00 120.00°
Space group P-3m1 (No. 164)
One atom of each set of equivalent atoms:
Rb 0.3333 0.6667 0.2010 [2 per cell]
Ge 0.0000 0.0000 0.5000 [1 per cell]
F 0.1475 0.2951 0.7098 [6 per cell]

* density: 3.92 g cm⁻³


Of them, the most stable is 1 and the least stable is 2.


1 | Density functional theory data (PBE) for a relaxed RbGeF2 crystal.

Cell: 3.6279 3.6279 22.8915 Å, 90.00 90.00 120.00°
Space group R-3m (No. 166, hexagonal axes)
One atom of each set of equivalent atoms:
Rb 0.0000 0.0000 0.0000 [3 per cell]
Ge 0.0000 0.0000 0.5000 [3 per cell]
F 0.0000 0.0000 0.4095 [6 per cell]

* density: 3.74 g cm⁻³


2 | Density functional theory data (PBE) for a relaxed RbGeF2 crystal.

Cell: 6.700 6.700 6.700 Å, 90.00 90.00 90.00°
Space group Fm-3m (No. 225)
One atom of each set of equivalent atoms:
Rb 0.000 0.000 0.000 [4 per cell]
Ge 0.000 0.000 0.500 [4 per cell]
F 0.250 0.250 0.250 [8 per cell]

* density: 4.33 g cm⁻³


Of them, the most stable is 1 and the least stable is 2.


1 | Density functional theory data (PBE) for a relaxed RbGe2F crystal.

Cell: 7.305 7.305 7.305 Å, 90.00 90.00 90.00°
Space group Fm-3m (No. 225)
One atom of each set of equivalent atoms:
Rb 0.000 0.000 0.000 [4 per cell]
Ge 0.250 0.250 0.250 [8 per cell]
F 0.000 0.000 0.500 [4 per cell]

* density: 4.26 g cm⁻³


2 | Density functional theory data (PBE) for a relaxed RbGe2F crystal.

Cell: 4.966 4.966 18.814 Å, 90.00 90.00 90.00°
Space group I4_1/amd (No. 141, origin choice 2)
One atom of each set of equivalent atoms:
Rb 0.000 0.250 0.375 [4 per cell]
Ge 0.000 0.000 0.000 [8 per cell]
F 0.000 0.250 0.875 [4 per cell]

* density: 3.58 g cm⁻³


Of them, the most stable is 2 and the least stable is 1.


1 | Density functional theory data (PBE) for a relaxed Rb2GeF4 crystal.

Cell: 4.489 4.489 14.140 Å, 90.00 90.00 90.00°
Space group I4/mmm (No. 139)
One atom of each set of equivalent atoms:
Rb 0.000 0.000 0.146 [4 per cell]
Ge 0.000 0.000 0.500 [2 per cell]
F 0.000 0.000 0.342 [4 per cell]
F 0.000 0.500 0.000 [4 per cell]

* density: 3.72 g cm⁻³


2 | Density functional theory data (PBE) for a relaxed Rb2GeF4 crystal.

Cell: 7.217 5.890 8.194 Å, 90.00 102.28 90.00°
Space group P2_1/m (No. 11)
One atom of each set of equivalent atoms:
Rb 0.085 0.250 0.363 [2 per cell]
Rb 0.357 0.250 0.889 [2 per cell]
Ge 0.131 0.750 0.092 [2 per cell]
F 0.017 0.750 0.329 [2 per cell]
F 0.264 0.750 0.894 [2 per cell]
F 0.304 0.522 0.187 [4 per cell]

* density: 3.12 g cm⁻³


Of them, the most stable is 2 and the least stable is 1.


1 | Density functional theory data (PBE) for a relaxed Rb2GeF7 crystal.

Cell: 14.101 6.094 10.747 Å, 90.00 130.53 90.00°
Space group C2/c (No. 15)
One atom of each set of equivalent atoms:
Rb 0.162 0.036 0.061 [8 per cell]
Ge 0.000 0.490 0.250 [4 per cell]
F 0.000 0.164 0.250 [4 per cell]
F 0.068 0.273 0.717 [8 per cell]
F 0.096 0.353 0.192 [8 per cell]
F 0.140 0.479 0.462 [8 per cell]

* density: 3.56 g cm⁻³


2 | Density functional theory data (PBE) for a relaxed Rb2GeF7 crystal.

Cell: 6.195 6.195 9.172 Å, 90.00 90.00 90.00°
Space group I4/mmm (No. 139)
One atom of each set of equivalent atoms:
Rb 0.000 0.500 0.250 [4 per cell]
Ge 0.000 0.000 0.000 [2 per cell]
F 0.000 0.000 0.199 [4 per cell]
F 0.000 0.000 0.500 [2 per cell]
F 0.209 0.209 0.000 [8 per cell]

* density: 3.55 g cm⁻³


Of them, the most stable is 2 and the least stable is 1.


1 | Density functional theory data (PBE) for a relaxed Rb3GeF crystal.

Cell: 5.653 5.653 5.653 Å, 90.00 90.00 90.00°
Space group Pm-3m (No. 221)
One atom of each set of equivalent atoms:
Rb 0.000 0.000 0.500 [3 per cell]
Ge 0.500 0.500 0.500 [1 per cell]
F 0.000 0.000 0.000 [1 per cell]

* density: 3.20 g cm⁻³


2 | Density functional theory data (PBE) for a relaxed Rb3GeF crystal.

Cell: 5.218 7.486 11.611 Å, 102.65 100.41 95.06°
Space group P1 (No. 1)
One atom of each set of equivalent atoms:
Rb 0.000 0.000 0.000 [1 per cell]
Rb 0.033 0.538 0.189 [1 per cell]
Rb 0.201 0.131 0.409 [1 per cell]
Rb 0.235 0.669 0.598 [1 per cell]
Rb 0.435 0.468 0.909 [1 per cell]
Rb 0.800 0.201 0.689 [1 per cell]
Ge 0.590 0.898 0.214 [1 per cell]
Ge 0.643 0.771 0.383 [1 per cell]
F 0.296 0.328 0.655 [1 per cell]
F 0.938 0.341 0.943 [1 per cell]

* density: 2.68 g cm⁻³


Of them, the most stable is 2 and the least stable is 1.


1 | Density functional theory data (PBE) for a relaxed ReGe2F crystal.

Cell: 6.225 6.225 6.225 Å, 90.00 90.00 90.00°
Space group Fm-3m (No. 225)
One atom of each set of equivalent atoms:
Re 0.000 0.000 0.000 [4 per cell]
Ge 0.250 0.250 0.250 [8 per cell]
F 0.000 0.000 0.500 [4 per cell]

* density: 9.65 g cm⁻³


2 | Density functional theory data (PBE) for a relaxed ReGe2F crystal.

Cell: 5.519 5.519 10.840 Å, 90.00 90.00 90.00°
Space group I-42d (No. 122)
One atom of each set of equivalent atoms:
Re 0.000 0.000 0.000 [4 per cell]
Ge 0.250 0.250 0.125 [8 per cell]
F 0.000 0.000 0.500 [4 per cell]

* density: 7.05 g cm⁻³


Of them, the most stable is 2 and the least stable is 1.


1 | Density functional theory data (PBE) for a relaxed ReGeF3 crystal.

Cell: 4.459 4.459 4.459 Å, 90.00 90.00 90.00°
Space group Pm-3m (No. 221)
One atom of each set of equivalent atoms:
Re 0.000 0.000 0.000 [1 per cell]
Ge 0.500 0.500 0.500 [1 per cell]
F 0.000 0.500 0.500 [3 per cell]

* density: 5.92 g cm⁻³


2 | Density functional theory data (PBE) for a relaxed ReGeF3 crystal.

Cell: 4.201 4.201 4.201 Å, 90.00 90.00 90.00°
Space group Pm-3m (No. 221)
One atom of each set of equivalent atoms:
Re 0.000 0.000 0.000 [1 per cell]
Ge 0.500 0.500 0.500 [1 per cell]
F 0.000 0.000 0.500 [3 per cell]

* density: 7.07 g cm⁻³


Of them, the most stable is 2 and the least stable is 1.


1 | Density functional theory data (PBE) for a relaxed ReGe2F2 crystal.

Cell: 4.834 4.834 6.314 Å, 90.00 90.00 90.00°
Space group I4/mmm (No. 139)
One atom of each set of equivalent atoms:
Re 0.000 0.000 0.000 [2 per cell]
Ge 0.000 0.500 0.250 [4 per cell]
F 0.000 0.000 0.327 [4 per cell]

* density: 8.32 g cm⁻³


2 | Density functional theory data (PBE) for a relaxed ReGe2F2 crystal.

Cell: 7.372 7.372 2.649 Å, 90.00 90.00 90.00°
Space group P4/mbm (No. 127)
One atom of each set of equivalent atoms:
Re 0.000 0.000 0.000 [2 per cell]
Ge 0.240 0.260 0.500 [4 per cell]
F 0.108 0.608 0.000 [4 per cell]

* density: 8.52 g cm⁻³


Of them, the most stable is 2 and the least stable is 1.